! Rh2PbW (PBEsol, optimized geometry); values from VASP
&SYSTEM
  ibrav = 0, nat = 4, ntyp = 3
/
ATOMIC_SPECIES
Rh 102.91 Rh.upf
Pb 207.20 Pb.upf
W 183.84 W.upf
ATOMIC_POSITIONS angstrom
Rh 2.020 0.000 1.112
Rh 6.170 0.000 3.869
Pb -0.376 0.000 2.491
W 4.471 0.000 0.000
CELL_PARAMETERS angstrom
4.471 -1.465 0.000
4.471 1.465 0.000
-0.753 0.000 4.981
! Energy relative to the elements = 0.31 eV per atom
! Magnetization = 0.0000 μB per atom
! Calculated volume = 16.31 Å³/atom